Record 1
Pr5Er4Sc4: optimized geometry, PBE.

Cell: 9.2987 9.2987 9.2987 Å, 94.08 94.08 149.07°
Atoms (fractional coordinates):
Pr (0.0000, 0.0000, 0.0000)
Pr (0.3039, 0.4564, 0.7603)
Pr (0.4564, 0.6961, 0.1525)
Pr (0.5436, 0.3039, 0.8475)
Pr (0.6961, 0.5436, 0.2397)
Er (0.0776, 0.6157, 0.6932)
Er (0.3843, 0.0776, 0.4619)
Er (0.6157, 0.9224, 0.5381)
Er (0.9224, 0.3843, 0.3068)
Sc (0.1562, 0.2345, 0.3908)
Sc (0.2345, 0.8438, 0.0783)
Sc (0.7655, 0.1562, 0.9217)
Sc (0.8438, 0.7655, 0.6092)

## Properties
**DOS(E_F)**: 20.59 states/eV/cell
**Final energy**: -5.1349 eV per atom

---

Record 2
PrEr3Sc: optimized geometry, PBE.

Cell: 6.1817 5.5718 9.4157 Å, 90.00 109.03 90.00°
Atoms (fractional coordinates):
Pr (0.0688, 0.2500, 0.2985)
Pr (0.9312, 0.7500, 0.7015)
Er (0.1423, 0.7500, 0.0946)
Er (0.2739, 0.2500, 0.7105)
Er (0.3373, 0.7500, 0.5039)
Er (0.6627, 0.2500, 0.4961)
Er (0.7261, 0.7500, 0.2895)
Er (0.8577, 0.2500, 0.9054)
Sc (0.4639, 0.2500, 0.0947)
Sc (0.5361, 0.7500, 0.9053)

## Properties
**DOS(E_F)**: 18.00 states/eV/cell
**Final energy**: -4.9299 eV per atom
**Offset from the most stable computed form**: 0.00 eV/f.u.